1.
Crystalline TbBi5O9 at its relaxed geometry, computed with PBE.

Raw total energy = -91.95 eV/f.u.
Crystal system = triclinic
D(E_F) = 0.00 states/eV/cell
E_form (uncorrected) = -1553 meV/atom

Lattice parameters (Å, degrees): 3.8499 6.9418 9.5908 84.34 77.49 88.09
Fractional positions:
Tb  0.0260  0.9888  0.0173
Bi  0.1590  0.4078  0.6563
Bi  0.5225  0.4564  0.9924
Bi  0.3318  0.1097  0.3472
Bi  0.8530  0.6170  0.3227
Bi  0.6558  0.8763  0.6585
O  0.8516  0.1900  0.5501
O  0.1718  0.7469  0.5490
O  0.3554  0.4410  0.3038
O  0.4709  0.1477  0.1059
O  0.0730  0.3028  0.8938
O  0.6159  0.9114  0.8845
O  0.6406  0.5439  0.7434
O  0.9123  0.9451  0.2756
O  0.9646  0.6496  0.0919

=====

2.
Crystalline TbBiO3 at its relaxed geometry, computed with PBE.

Raw total energy = -34.40 eV/f.u.
Crystal system = orthorhombic
D(E_F) = 0.64 states/eV/cell
E_form (uncorrected) = -2203 meV/atom

Lattice parameters (Å, degrees): 3.5476 7.0106 7.0106 109.27 90.00 90.00
Fractional positions:
Tb  0.5000  0.0000  0.5000
Tb  0.5000  0.5000  0.0000
Bi  0.0000  0.0000  0.0000
Bi  0.0000  0.5000  0.5000
O  0.0000  0.9274  0.6682
O  0.0000  0.6682  0.9274
O  0.5000  0.6456  0.3544
O  0.5000  0.3544  0.6456
O  0.0000  0.0726  0.3318
O  0.0000  0.3318  0.0726

=====

3.
Crystalline Tb3BiO3 at its relaxed geometry, computed with PBE.

Raw total energy = -51.25 eV/f.u.
Crystal system = trigonal
D(E_F) = 3.44 states/eV/cell
E_form (uncorrected) = -2657 meV/atom

Lattice parameters (Å, degrees): 6.7006 6.7006 8.5008 66.79 66.79 60.00
Fractional positions:
Tb  0.2447  0.5454  0.3107
Tb  0.8992  0.2447  0.3107
Tb  0.5454  0.8992  0.3107
Tb  0.4546  0.1008  0.6893
Tb  0.1008  0.7553  0.6893
Tb  0.7553  0.4546  0.6893
Bi  0.3333  0.3333  0.0000
Bi  0.6667  0.6667  0.0000
O  0.4433  0.8060  0.6169
O  0.8060  0.1338  0.6169
O  0.1338  0.4433  0.6169
O  0.8662  0.5567  0.3831
O  0.1940  0.8662  0.3831
O  0.5567  0.1940  0.3831

=====

4.
Crystalline Tb2Bi2O7 at its relaxed geometry, computed with PBE.

Raw total energy = -75.10 eV/f.u.
Crystal system = monoclinic
E_form (uncorrected) = -2125 meV/atom

Lattice parameters (Å, degrees): 5.4104 5.5840 5.5840 95.66 93.30 93.30
Fractional positions:
Tb  0.0394  0.7294  0.2632
Tb  0.0394  0.2632  0.7294
Bi  0.5400  0.2697  0.2697
Bi  0.5046  0.7582  0.7582
O  0.7647  0.0120  0.3983
O  0.7647  0.3983  0.0120
O  0.2895  0.4769  0.4769
O  0.2657  0.0542  0.0542
O  0.7887  0.5151  0.5151
O  0.2516  0.9618  0.5611
O  0.2516  0.5611  0.9618

=====

5.
Crystalline Tb4Bi6O19 at its relaxed geometry, computed with PBE.

Raw total energy = -184.47 eV/f.u.
Crystal system = cubic
D(E_F) = 16.68 states/eV/cell
E_form (uncorrected) = -1671 meV/atom

Lattice parameters (Å, degrees): 8.4040 8.4040 8.4040 109.47 109.47 109.47
Fractional positions:
Tb  0.0000  0.0000  0.7147
Tb  0.0000  0.7147  0.0000
Tb  0.2853  0.2853  0.2853
Tb  0.7147  0.0000  0.0000
Bi  0.3242  0.5000  0.8242
Bi  0.6758  0.5000  0.1758
Bi  0.1758  0.6758  0.5000
Bi  0.8242  0.3242  0.5000
Bi  0.5000  0.8242  0.3242
Bi  0.5000  0.1758  0.6758
O  0.6463  0.0000  0.6463
O  0.3537  0.0000  0.3537
O  0.3537  0.3537  0.0000
O  0.6463  0.6463  0.0000
O  0.0000  0.6463  0.6463
O  0.0000  0.3537  0.3537
O  0.0000  0.0000  0.0000
O  0.3404  0.3186  0.5757
O  0.6596  0.2354  0.9783
O  0.7429  0.7646  0.4243
O  0.9783  0.6596  0.2354
O  0.2571  0.6814  0.0217
O  0.5757  0.3404  0.3186
O  0.0217  0.2571  0.6814
O  0.4243  0.7429  0.7646
O  0.6814  0.0217  0.2571
O  0.2354  0.9783  0.6596
O  0.3186  0.5757  0.3404
O  0.7646  0.4243  0.7429

=====

6.
Crystalline Tb4Bi3O at its relaxed geometry, computed with PBE.

Raw total energy = -44.84 eV/f.u.
Crystal system = orthorhombic
D(E_F) = 5.77 states/eV/cell
E_form (uncorrected) = -1214 meV/atom

Lattice parameters (Å, degrees): 6.3086 6.3090 12.2384 90.00 90.00 90.00
Fractional positions:
Tb  0.0627  0.8529  0.0000
Tb  0.6650  0.2528  0.0000
Tb  0.0582  0.2382  0.2479
Tb  0.5582  0.7618  0.2521
Tb  0.1650  0.7472  0.5000
Tb  0.5627  0.1471  0.5000
Tb  0.5582  0.7618  0.7479
Tb  0.0582  0.2382  0.7521
Bi  0.5634  0.7539  0.0000
Bi  0.0577  0.7384  0.2495
Bi  0.5577  0.2616  0.2505
Bi  0.0634  0.2461  0.5000
Bi  0.5577  0.2616  0.7495
Bi  0.0577  0.7384  0.7505
O  0.9923  0.1804  0.0000
O  0.4923  0.8196  0.5000